1.
This record from Alexandria via LeMat-Bulk describes an optimized crystal structure of Pr2InAs3Pt4. The functional is PBE.

The structure in POSCAR format:
```
Pr2InAs3Pt4
1.0
-1.645 3.990 -0.505
-3.759 -1.719 -1.340
-3.576 -0.176 10.254
As Pt Pr In
3 4 2 1
Direct
0.000 0.500 0.129 As
0.000 0.000 0.500 As
0.500 0.000 0.871 As
0.000 0.500 0.354 Pt
0.000 0.000 0.000 Pt
0.500 0.000 0.646 Pt
0.500 0.500 0.000 Pt
0.000 0.500 0.769 Pr
0.500 0.000 0.231 Pr
0.500 0.500 0.500 In
```

N(E_F) = 0.394 states/eV/atom
Symmetry = No. 115
Calculated formation energy = -0.84 eV per atom
Uncorrected energy = -5.885 eV per atom

2.
This record from Alexandria via LeMat-Bulk describes an optimized crystal structure of CePuAu. The functional is PBE.

The structure in POSCAR format:
```
CePuAu
1.0
-0.261 -3.295 0.692
1.845 0.440 2.794
-11.998 3.790 5.287
Pu Ce Au
2 2 2
Direct
0.702 0.702 0.404 Pu
0.298 0.298 0.596 Pu
0.549 0.549 0.099 Ce
0.451 0.451 0.901 Ce
0.126 0.126 0.252 Au
0.874 0.874 0.748 Au
```

N(E_F) = 3.708 states/eV/atom
Symmetry = No. 139
Calculated formation energy = -0.20 eV per atom
Uncorrected energy = -8.049 eV per atom
ΔE to the lowest computed polymorph = 2.87 kcal/mol of atoms

3.
This record from Alexandria via LeMat-Bulk describes an optimized crystal structure of PmSm6Dy2Th. The functional is PBE.

The structure in POSCAR format:
```
PmSm6Dy2Th
1.0
-9.127 -2.500 2.202
3.597 -6.407 4.894
-0.596 7.943 3.808
Sm Dy Pm Th
12 4 2 2
Direct
0.816 0.424 0.983 Sm
0.881 0.297 0.514 Sm
0.559 0.759 0.110 Sm
0.684 0.017 0.576 Sm
0.059 0.110 0.759 Sm
0.184 0.576 0.017 Sm
0.316 0.983 0.424 Sm
0.941 0.890 0.241 Sm
0.619 0.486 0.703 Sm
0.381 0.514 0.297 Sm
0.441 0.241 0.890 Sm
0.119 0.703 0.486 Sm
0.051 0.290 0.198 Dy
0.449 0.802 0.710 Dy
0.551 0.198 0.290 Dy
0.949 0.710 0.802 Dy
0.250 0.405 0.595 Pm
0.750 0.595 0.405 Pm
0.750 0.030 0.970 Th
0.250 0.970 0.030 Th
```

N(E_F) = 1.451 states/eV/atom
Symmetry = No. 15
Calculated formation energy = 0.15 eV per atom
Uncorrected energy = -4.822 eV per atom

4.
This record from Alexandria via LeMat-Bulk describes an optimized crystal structure of KCd2GeIr. The functional is PBE.

The structure in POSCAR format:
```
KCd2GeIr
1.0
-0.940 -3.908 -3.520
3.592 2.135 -3.329
3.390 -2.605 1.987
Ir Ge K Cd
1 1 1 2
Direct
0.000 0.000 0.000 Ir
0.000 0.000 0.500 Ge
0.500 0.500 0.500 K
0.500 0.000 0.000 Cd
0.000 0.500 0.000 Cd
```

N(E_F) = 0.249 states/eV/atom
Symmetry = No. 123
Calculated formation energy = -0.17 eV per atom
Uncorrected energy = -3.449 eV per atom

5.
This record from Alexandria via LeMat-Bulk describes an optimized crystal structure of Pr8Sm5In. The functional is PBE.

The structure in POSCAR format:
```
Pr8Sm5In
1.0
-0.894 1.254 -9.010
7.067 -4.136 3.701
-4.878 -5.999 4.875
Pr Sm In
8 5 1
Direct
0.900 0.561 0.582 Pr
0.595 0.365 0.872 Pr
0.339 0.296 0.413 Pr
0.518 0.945 0.937 Pr
0.992 0.055 0.573 Pr
0.020 0.439 0.338 Pr
0.117 0.704 0.043 Pr
0.506 0.635 0.230 Pr
0.929 0.820 0.204 Sm
0.680 0.756 0.727 Sm
0.384 0.180 0.109 Sm
0.971 0.244 0.924 Sm
0.499 0.000 0.499 Sm
0.301 0.500 0.801 In
```

N(E_F) = 1.498 states/eV/atom
Symmetry = No. 5
Calculated formation energy = 0.09 eV per atom
Uncorrected energy = -4.526 eV per atom

6.
This record from Alexandria via LeMat-Bulk describes an optimized crystal structure of Ho2PdSe. The functional is PBE.

The structure in POSCAR format:
```
Ho2PdSe
1.0
-0.214 -0.855 -3.862
-1.770 -3.337 -1.195
-6.893 2.059 -2.106
Se Ho Pd
1 2 1
Direct
0.000 0.000 0.000 Se
0.245 0.245 0.264 Ho
0.755 0.755 0.736 Ho
0.500 0.500 0.500 Pd
```

N(E_F) = 0.548 states/eV/atom
Symmetry = No. 166
Uncorrected energy = -5.713 eV per atom
ΔE to the lowest computed polymorph = 1.54 kcal/mol of atoms
Raw formation energy = -1255 meV per atom

What did the first record say?
This record from Alexandria via LeMat-Bulk describes an optimized crystal structure of Pr2InAs3Pt4. The functional is PBE.

The structure in POSCAR format:
```
Pr2InAs3Pt4
1.0
-1.645 3.990 -0.505
-3.759 -1.719 -1.340
-3.576 -0.176 10.254
As Pt Pr In
3 4 2 1
Direct
0.000 0.500 0.129 As
0.000 0.000 0.500 As
0.500 0.000 0.871 As
0.000 0.500 0.354 Pt
0.000 0.000 0.000 Pt
0.500 0.000 0.646 Pt
0.500 0.500 0.000 Pt
0.000 0.500 0.769 Pr
0.500 0.000 0.231 Pr
0.500 0.500 0.500 In
```

N(E_F) = 0.394 states/eV/atom
Symmetry = No. 115
Calculated formation energy = -0.84 eV per atom
Uncorrected energy = -5.885 eV per atom